No. 1
YBrN2O: optimized geometry, PBE.

Geometry as CIF:
```
data_YBrN2O
_cell_length_a 4.836
_cell_length_b 4.836
_cell_length_c 4.283
_cell_angle_alpha 90.00
_cell_angle_beta 90.00
_cell_angle_gamma 90.00
_symmetry_space_group_name_H-M 'P 1'
_symmetry_Int_Tables_number 1
loop_
_symmetry_equiv_pos_as_xyz
'x,y,z'
loop_
_atom_site_label
_atom_site_fract_x
_atom_site_fract_y
_atom_site_fract_z
Y1 0.000 0.000 0.000
Br1 0.500 0.500 0.500
N1 0.000 0.500 0.000
N2 0.500 0.000 0.000
O1 0.000 0.000 0.500
```

Properties
Symmetry: P4/mmm



No. 2
YBrN2O: optimized geometry, PBE.

Geometry as CIF:
```
data_YBrN2O
_cell_length_a 3.989
_cell_length_b 3.989
_cell_length_c 3.971
_cell_angle_alpha 90.00
_cell_angle_beta 90.00
_cell_angle_gamma 90.00
_symmetry_space_group_name_H-M 'P 1'
_symmetry_Int_Tables_number 1
loop_
_symmetry_equiv_pos_as_xyz
'x,y,z'
loop_
_atom_site_label
_atom_site_fract_x
_atom_site_fract_y
_atom_site_fract_z
Y1 0.000 0.000 0.000
Br1 0.500 0.500 0.500
N1 0.000 0.500 0.500
N2 0.500 0.000 0.500
O1 0.500 0.500 0.000
```

Properties
Symmetry: P4/mmm



Here are the calculated energy relative to the elements, uncorrected numbers, same order: 692 492 (meV per atom).